FeNi2RuF | GGA+U | optimized geometry

```
5
Lattice="4.731 0.000 0.000 0.000 4.702 0.000 0.000 0.000 4.731" Properties=species:S:1:pos:R:3 pbc="T T T"
Ni 0.000 0.000 2.365
Ni 2.365 0.000 0.000
Ru 0.000 0.000 0.000
Fe 0.000 2.351 0.000
F 2.365 2.351 2.365
```

Distance to the lowest polymorph of the same formula, eV/f.u.: 4.570
E_tot, eV/cell: -15.33
V, Å³ per atom: 21.044